Material: Rb2TmBiO4
Method: DFT, PBE
State: relaxed

## Properties
Energy = -5.77 eV/atom
Space group = No. 10
DOS(E_F) = 0.0 states/eV per cell

Unit cell a=3.540 b=6.181 c=6.873 alpha=107.20 beta=90.00 gamma=90.00
Sites, in units of the cell vectors:
Tm 0.500 0.500 0.000
O 0.500 0.754 0.815
Bi 0.000 0.000 0.000
Rb 0.500 0.000 0.500
Rb 0.000 0.500 0.500
O 0.000 0.711 0.177
O 0.000 0.289 0.823
O 0.500 0.246 0.185



Material: Rb4TmBi3O12
Method: DFT, PBE
State: relaxed

## Properties
Energy = -5.27 eV/atom
Space group = No. 229
DOS(E_F) = 12.9 states/eV per cell

Unit cell a=7.510 b=7.510 c=7.510 alpha=109.47 beta=109.47 gamma=109.47
Site moments in Bohr magnetons follow the coordinates.
Sites, in units of the cell vectors:
Tm 0.000 0.000 0.000  -0.03
O 0.250 0.750 0.500  0.14
Bi 0.500 0.000 0.500  -0.03
O 0.743 0.743 0.000  0.13
O 0.000 0.743 0.743  0.13
O 0.750 0.250 0.500  0.14
Rb 0.500 0.000 0.000  0.00
O 0.500 0.250 0.750  0.14
O 0.500 0.750 0.250  0.14
Bi 0.500 0.500 0.000  -0.03
O 0.257 0.000 0.257  0.13
O 0.743 0.000 0.743  0.13
O 0.257 0.257 0.000  0.13
Rb 0.000 0.000 0.500  0.00
O 0.000 0.257 0.257  0.13
Bi 0.000 0.500 0.500  -0.03
Rb 0.500 0.500 0.500  0.00
Rb 0.000 0.500 0.000  0.00
O 0.250 0.500 0.750  0.14
O 0.750 0.500 0.250  0.14



Material: RbUBi2O8
Method: DFT, PBE
State: relaxed

## Properties
Energy = -6.62 eV/atom
Space group = No. 10

Unit cell a=5.275 b=5.273 c=7.480 alpha=90.00 beta=90.00 gamma=87.66
Site moments in Bohr magnetons follow the coordinates.
Sites, in units of the cell vectors:
Rb 0.000 0.000 0.500  0.02
O 0.808 0.192 0.191  0.00
O 0.192 0.808 0.809  0.00
O 0.645 0.643 0.500  0.45
O 0.192 0.808 0.192  0.00
O 0.692 0.693 0.000  0.00
U 0.000 0.000 0.000  -0.01
O 0.808 0.192 0.808  0.00
Bi 0.500 0.500 0.231  -0.01
O 0.355 0.357 0.500  0.45
O 0.308 0.307 0.000  0.00
Bi 0.500 0.500 0.769  -0.01



Material: Rb2U3BiO12
Method: DFT, PBE
State: relaxed

## Properties
Energy = -8.09 eV/atom
Space group = No. 166
DOS(E_F) = 6.8 states/eV per cell

Unit cell a=7.936 b=7.936 c=7.936 alpha=60.88 beta=60.88 gamma=60.88
Sites, in units of the cell vectors:
O 0.663 0.071 0.071
O 0.930 0.309 0.309
O 0.929 0.337 0.929
O 0.929 0.929 0.337
U 0.500 0.000 0.000
O 0.309 0.930 0.309
Rb 0.624 0.624 0.624
Bi 0.000 0.000 0.000
O 0.309 0.309 0.930
U 0.000 0.000 0.500
O 0.071 0.071 0.663
O 0.691 0.070 0.691
O 0.071 0.663 0.071
Rb 0.376 0.376 0.376
U 0.000 0.500 0.000
O 0.070 0.691 0.691
O 0.337 0.929 0.929
O 0.691 0.691 0.070